(1)
A plane-wave DFT calculation with PBEsol was carried out for a geometry-optimized Ba3Tl2 structure.

Unit cell a=14.3537 b=14.3537 c=14.3537 alpha=17.08 beta=17.08 gamma=17.08
With the nearest neighbours (Å) after each atom.
Element x y z (fractional)
Ba  0.0000  0.0000  0.0000  6 Tl 3.59
Ba  0.2126  0.2126  0.2126  3 Tl 3.51
Ba  0.7874  0.7874  0.7874  3 Tl 3.51
Tl  0.3949  0.3949  0.3949  6 Ba 3.51-3.59
Tl  0.6051  0.6051  0.6051  6 Ba 3.51-3.59

Calculated values
For the total energy, the calculation gives -12.667 eV per cell. The value obtained for the total magnetic moment is 0.00 μB per formula unit. The calculation puts the energy above the most stable polymorph in this dataset at 127 meV/atom. The space group is R-3m.

---

(2)
A plane-wave DFT calculation with PBEsol was carried out for a geometry-optimized BaTl2 structure.

Unit cell a=6.4958 b=6.4958 c=10.4765 alpha=90.00 beta=90.00 gamma=120.00
With the nearest neighbours (Å) after each atom.
Element x y z (fractional)
Ba  0.3333  0.6667  0.0699  12 Tl 3.76-3.82, 4 Ba 3.77-4.03
Ba  0.3333  0.6667  0.4301  12 Tl 3.76-3.82, 4 Ba 3.77-4.03
Ba  0.6667  0.3333  0.5699  12 Tl 3.76-3.82, 4 Ba 3.77-4.03
Ba  0.6667  0.3333  0.9301  12 Tl 3.76-3.82, 4 Ba 3.77-4.03
Tl  0.0000  0.0000  0.0000  6 Tl 3.25
Tl  0.0000  0.0000  0.5000  6 Tl 3.25
Tl  0.1704  0.3407  0.7500  6 Tl 3.18-3.32
Tl  0.1704  0.8296  0.7500  6 Tl 3.18-3.32
Tl  0.3407  0.1704  0.2500  6 Tl 3.18-3.32
Tl  0.6593  0.8296  0.7500  6 Tl 3.18-3.32
Tl  0.8296  0.1704  0.2500  6 Tl 3.18-3.32
Tl  0.8296  0.6593  0.2500  6 Tl 3.18-3.32

Calculated values
For the total energy, the calculation gives -34.230 eV per cell. The value obtained for the total magnetic moment is 0.00 μB per formula unit. The space group is P6_3/mmc.

---

no.,density (g/cm³)
1,6.13
2,9.47